Record 1
# BC

A relaxed BC crystal (PBE-GGA, Alexandria).

Cell lengths 2.6881, 2.6881, 15.6553 Å; angles 90.00, 90.00, 120.00 degrees
Closest atoms and distances in Å follow each position.
Atoms (fractional coordinates):
C (0.3333, 0.6667, 0.1411)  3 B 1.56, 1 C 1.62
B (0.6667, 0.3333, 0.3819)  3 C 1.56
B (0.6667, 0.3333, 0.8878)  3 C 1.56
B (0.0000, 0.0000, 0.4891)  1 C 1.57
C (0.0000, 0.0000, 0.0041)  4 C 1.62-1.64
B (0.6667, 0.3333, 0.1539)  3 C 1.56
B (0.3333, 0.6667, 0.5526)  1 C 1.57
B (0.6667, 0.3333, 0.6598)  3 C 1.56
C (0.3333, 0.6667, 0.6531)  4 B 1.56-1.57
C (0.0000, 0.0000, 0.3886)  4 B 1.56-1.57
C (0.0000, 0.0000, 0.9006)  3 B 1.56, 1 C 1.62
C (0.3333, 0.6667, 0.0375)  4 C 1.62-1.64

Computed properties:
DOS at the Fermi energy   1.796 states/eV/cell
Size of the total moment   0.0 μB/cell
E_form   281 meV/atom

=====

Record 2
# B3C2

A relaxed B3C2 crystal (PBE-GGA, Alexandria).

Cell lengths 7.2737, 7.2737, 7.2737 Å; angles 160.74, 146.75, 38.71 degrees
Closest atoms and distances in Å follow each position.
Atoms (fractional coordinates):
B (0.1554, 0.2500, 0.9054)  4 B 1.73-1.78
B (0.4531, 0.3629, 0.0902)  1 C 1.63, 3 B 1.73-1.80
B (0.8446, 0.7500, 0.0946)  4 B 1.73-1.78
C (0.6871, 0.5419, 0.1452)  3 C 1.50-1.67, 1 B 1.63
B (0.7726, 0.8629, 0.9098)  1 C 1.63, 3 B 1.73-1.80
C (0.3129, 0.4581, 0.8548)  3 C 1.50-1.67, 1 B 1.63
B (0.5469, 0.6371, 0.9098)  1 C 1.63, 3 B 1.73-1.80
B (0.2274, 0.1371, 0.0902)  1 C 1.63, 3 B 1.73-1.80
C (0.1033, 0.9581, 0.1452)  3 C 1.50-1.67, 1 B 1.63
C (0.8967, 0.0419, 0.8548)  3 C 1.50-1.67, 1 B 1.63

Computed properties:
DOS at the Fermi energy   3.833 states/eV/cell
Size of the total moment   0.0 μB/cell
E_form   595 meV/atom

=====

Record 3
# B3C

A relaxed B3C crystal (PBE-GGA, Alexandria).

Cell lengths 9.1878, 9.1878, 9.1878 Å; angles 17.45, 17.45, 17.45 degrees
Closest atoms and distances in Å follow each position.
Atoms (fractional coordinates):
B (0.5322, 0.5322, 0.5322)  4 B 1.68-1.75
C (0.0293, 0.0293, 0.0293)  1 C 1.59, 3 B 1.66
C (0.9707, 0.9707, 0.9707)  1 C 1.59, 3 B 1.66
B (0.4678, 0.4678, 0.4678)  4 B 1.68-1.75
B (0.2894, 0.2894, 0.2894)  3 C 1.66
B (0.7828, 0.7828, 0.7828)  3 B 1.68
B (0.2172, 0.2172, 0.2172)  3 B 1.68
B (0.7106, 0.7106, 0.7106)  3 C 1.66

Computed properties:
DOS at the Fermi energy   1.731 states/eV/cell
Size of the total moment   0.0 μB/cell
E_form   733 meV/atom

=====

Record 4
# B7C5

A relaxed B7C5 crystal (PBE-GGA, Alexandria).

Cell lengths 2.4078, 2.5081, 13.5125 Å; angles 90.00, 90.00, 90.00 degrees
Closest atoms and distances in Å follow each position.
Atoms (fractional coordinates):
B (0.5000, 0.5000, 0.4781)  2 C 1.62
B (0.0000, 0.0000, 0.3256)  2 C 1.59
C (0.0000, 0.5000, 0.3978)  4 B 1.59-1.62
B (0.5000, 0.5000, 0.8709)  2 C 1.61
B (0.0000, 0.5000, 0.7697)  4 B 1.80-1.82
C (0.5000, 0.0000, 0.9460)  2 C 1.48, 2 B 1.61
B (0.5000, 0.0000, 0.5762)  4 B 1.79-1.82
B (0.0000, 0.0000, 0.6746)  4 B 1.79-1.80
C (0.0000, 0.0000, 0.0104)  4 C 1.48-1.58
B (0.5000, 0.0000, 0.2237)  2 C 1.64, 2 B 1.83
C (0.0000, 0.5000, 0.0814)  4 C 1.48-1.58
C (0.5000, 0.5000, 0.1455)  2 C 1.48, 2 B 1.64

Computed properties:
DOS at the Fermi energy   1.376 states/eV/cell
Size of the total moment   0.0 μB/cell
E_form   384 meV/atom

=====

Record 5
# B3C

A relaxed B3C crystal (PBE-GGA, Alexandria).

Cell lengths 2.7369, 3.7197, 9.2127 Å; angles 90.00, 90.00, 90.00 degrees
Closest atoms and distances in Å follow each position.
Atoms (fractional coordinates):
B (0.5000, 0.5956, 0.6173)  3 C 1.56-1.57
B (0.5000, 0.4976, 0.0000)  4 B 1.78-1.81
C (0.0000, 0.7791, 0.6579)  3 B 1.51-1.57
C (0.5000, 0.2930, 0.5000)  4 B 1.56-1.64
C (0.0000, 0.7791, 0.3421)  3 B 1.51-1.57
B (0.0000, 0.8164, 0.0000)  8 B 1.81-1.90
B (0.5000, 0.0775, 0.0928)  6 B 1.71-1.88
B (0.0000, 0.0522, 0.5000)  4 C 1.64-1.77
B (0.5000, 0.0775, 0.9072)  6 B 1.71-1.88
B (0.0000, 0.9682, 0.1973)  1 C 1.51
B (0.5000, 0.5956, 0.3827)  3 C 1.56-1.57
B (0.0000, 0.9682, 0.8027)  1 C 1.51

Computed properties:
DOS at the Fermi energy   2.208 states/eV/cell
Size of the total moment   0.0 μB/cell
E_form   368 meV/atom

=====

Record 6
# B7C5

A relaxed B7C5 crystal (PBE-GGA, Alexandria).

Cell lengths 2.5880, 5.8295, 6.4595 Å; angles 96.05, 90.00, 90.00 degrees
Closest atoms and distances in Å follow each position.
Atoms (fractional coordinates):
B (0.5000, 0.0564, 0.8042)  2 C 1.54-1.67
C (0.5000, 0.8340, 0.6185)  4 B 1.56-1.67
B (0.5000, 0.6059, 0.0524)  3 C 1.54
B (0.0000, 0.9728, 0.9989)  1 C 1.68, 1 B 1.77
B (0.0000, 0.7822, 0.7391)  3 C 1.53-1.56
C (0.5000, 0.5163, 0.2683)  4 B 1.54-1.64
B (0.0000, 0.9902, 0.2734)  1 C 1.75, 3 B 1.77-1.92
C (0.5000, 0.1645, 0.5970)  2 C 1.51, 1 B 1.54
C (0.0000, 0.6838, 0.9502)  4 B 1.53-1.68
B (0.0000, 0.4032, 0.3398)  3 C 1.54-1.56
C (0.0000, 0.2050, 0.4849)  2 C 1.51, 1 B 1.56
B (0.5000, 0.7857, 0.3731)  2 C 1.58-1.64

Computed properties:
DOS at the Fermi energy   2.300 states/eV/cell
Size of the total moment   0.0 μB/cell
E_form   369 meV/atom

=====

Number 1: total DFT energy (no corrections) -0.56371 Ry/atom. Number 2: total DFT energy (no corrections) -0.52188 Ry/atom. Number 3: total DFT energy (no corrections) -0.48370 Ry/atom. Number 4: total DFT energy (no corrections) -0.54056 Ry/atom. Number 5: total DFT energy (no corrections) -0.51050 Ry/atom. Number 6: total DFT energy (no corrections) -0.54161 Ry/atom.